Entry 1:
Computed, not measured: an optimized crystal structure of Re2AgBiMo at the PBE level of DFT.

Properties
Total magnetic moment (μB/atom): 0.338
Energy (eV/atom): -6.5922
Energy of formation (eV/atom): 1.90
Space-group type: No. 123

a b c (Å): 4.785 5.265 4.785
angles (deg): 90.00 90.00 90.00
Fractional positions:
Re (0.500, 0.000, 0.000)
Re (0.000, 0.000, 0.500)
Mo (0.000, 0.000, 0.000)
Ag (0.500, 0.500, 0.500)
Bi (0.000, 0.500, 0.000)

Entry 2:
Computed, not measured: an optimized crystal structure of Tb2Pr3Dy6In at the PBE level of DFT.

Properties
Total magnetic moment (μB/atom): 0.001
Energy (eV/atom): -4.5357
Energy of formation (eV/atom): -0.04
Space-group type: No. 12

a b c (Å): 6.165 6.165 11.740
angles (deg): 95.03 95.03 120.01
Fractional positions:
Pr (0.167, 0.833, 0.500)
Dy (0.080, 0.407, 0.243)
Dy (0.920, 0.593, 0.757)
Dy (0.247, 0.247, 0.756)
Pr (0.500, 0.500, 0.500)
Dy (0.593, 0.920, 0.757)
Dy (0.753, 0.753, 0.244)
Dy (0.407, 0.080, 0.243)
Pr (0.833, 0.167, 0.500)
In (0.000, 0.000, 0.000)
Tb (0.334, 0.666, 0.000)
Tb (0.666, 0.334, 0.000)